1.
DFT (PBE) results for MnNiTe2 after structural relaxation. Values from VASP.

```
&SYSTEM
  ibrav = 0, nat = 4, ntyp = 3
/
ATOMIC_SPECIES
Mn 54.94 Mn.upf
Ni 58.69 Ni.upf
Te 127.60 Te.upf
ATOMIC_POSITIONS crystal
Mn 0.500 0.500 0.500
Ni 0.750 0.750 0.750
Te 0.000 0.000 0.000
Te 0.250 0.250 0.250
CELL_PARAMETERS angstrom
-1.806 -4.106 -1.956
3.036 -3.462 -1.658
0.417 -4.244 2.402
```

As for the density of states at the Fermi level: 2.96 states/eV/f.u. The calculation puts the formation energy from raw total energies at 634 meV per atom.

***

2.
DFT (PBE) results for Cs2BiAsSe4 after structural relaxation. Values from VASP.

```
&SYSTEM
  ibrav = 0, nat = 16, ntyp = 4
/
ATOMIC_SPECIES
Cs 132.91 Cs.upf
Bi 208.98 Bi.upf
As 74.92 As.upf
Se 78.96 Se.upf
ATOMIC_POSITIONS crystal
Cs 0.181 0.000 0.637
Cs 0.819 0.000 0.363
Cs 0.569 0.500 0.863
Cs 0.931 0.500 0.137
Bi 0.750 0.500 0.500
Bi 0.000 0.000 0.000
As 0.250 0.500 0.500
As 0.500 0.000 0.000
Se 0.317 0.798 0.113
Se 0.229 0.202 0.887
Se 0.885 0.798 0.887
Se 0.570 0.202 0.113
Se 0.433 0.702 0.387
Se 0.521 0.298 0.613
Se 0.865 0.702 0.613
Se 0.180 0.298 0.387
CELL_PARAMETERS angstrom
-5.715 1.863 3.299
-2.693 -5.615 5.630
4.206 6.601 10.682
```

The calculation puts the formation energy from raw total energies at -576 meV per atom.

***

3.
DFT (PBE) results for Ba2AlCdIr after structural relaxation. Values from VASP.

```
&SYSTEM
  ibrav = 0, nat = 5, ntyp = 4
/
ATOMIC_SPECIES
Al 26.98 Al.upf
Ir 192.22 Ir.upf
Ba 137.33 Ba.upf
Cd 112.41 Cd.upf
ATOMIC_POSITIONS crystal
Al 0.000 0.000 0.500
Ir 0.000 0.000 0.000
Ba 0.000 0.500 0.000
Ba 0.500 0.000 0.000
Cd 0.500 0.500 0.500
CELL_PARAMETERS angstrom
-2.713 -5.066 2.142
3.212 0.479 5.203
-3.512 2.692 1.920
```

As for the density of states at the Fermi level: 3.48 states/eV/f.u. The value obtained for the calculated total energy is -3.7011 eV per atom.

***

4.
DFT (PBE) results for Dy2ErHg3 after structural relaxation. Values from VASP.

```
&SYSTEM
  ibrav = 0, nat = 6, ntyp = 3
/
ATOMIC_SPECIES
Dy 162.50 Dy.upf
Er 167.26 Er.upf
Hg 200.59 Hg.upf
ATOMIC_POSITIONS crystal
Dy 0.500 0.500 0.832
Dy 0.500 0.500 0.168
Er 0.500 0.500 0.500
Hg 0.000 0.000 0.000
Hg 0.000 0.000 0.664
Hg 0.000 0.000 0.336
CELL_PARAMETERS angstrom
-0.518 -0.008 3.682
-1.923 -3.170 -0.277
9.375 -5.800 1.306
```

As for the density of states at the Fermi level: 5.73 states/eV/f.u. The value obtained for the calculated total energy is -2.9258 eV per atom.

***

5.
DFT (PBE) results for LaCu2Pt after structural relaxation. Values from VASP.

```
&SYSTEM
  ibrav = 0, nat = 4, ntyp = 3
/
ATOMIC_SPECIES
Cu 63.55 Cu.upf
La 138.91 La.upf
Pt 195.08 Pt.upf
ATOMIC_POSITIONS crystal
Cu 0.000 0.000 0.000
Cu 0.500 0.500 0.000
La 0.500 0.000 0.500
Pt 0.000 0.500 0.500
CELL_PARAMETERS angstrom
4.057 0.000 0.000
0.000 4.067 0.000
0.000 0.000 4.644
```

As for the density of states at the Fermi level: 1.78 states/eV/f.u. The calculation puts the polymorph energy (0 for the lowest one) at 289 meV per atom.

***

6.
DFT (PBE) results for Cu2NiHgI after structural relaxation. Values from VASP.

```
&SYSTEM
  ibrav = 0, nat = 5, ntyp = 4
/
ATOMIC_SPECIES
I 126.90 I.upf
Ni 58.69 Ni.upf
Hg 200.59 Hg.upf
Cu 63.55 Cu.upf
ATOMIC_POSITIONS crystal
I 0.000 0.000 0.000
Ni 0.000 0.500 0.000
Hg 0.500 0.500 0.500
Cu 0.000 0.000 0.500
Cu 0.500 0.000 0.000
CELL_PARAMETERS angstrom
5.033 0.000 0.000
0.000 4.669 0.000
0.000 0.000 5.033
```

As for the density of states at the Fermi level: 2.84 states/eV/f.u. The calculation puts the formation energy from raw total energies at 897 meV per atom.

***

Theoretical density
In order: 7.39 4.28 5.55 11.84 9.99 7.21
Unit: g cm⁻³